1.
KFe2Mo | Alexandria via LeMat-Bulk | PBE-GGA | optimized geometry; energy relative to the lowest polymorph listed for this composition = 883 meV/atom; calculated total energy = -22.5 eV per cell; DOS at the Fermi energy = 5.61 states/eV/f.u.; mass density = 6.67 g/cm3
1.0
0.0000 3.1313 3.1313
3.1313 0.0000 3.1313
3.1313 3.1313 0.0000
K Fe Mo
1 2 1
Cartesian
0.0000 0.0000 0.0000
1.5656 1.5656 1.5656
4.6969 4.6969 4.6969
3.1313 3.1313 3.1313


2.
KFeMo2 | Alexandria via LeMat-Bulk | PBE-GGA | optimized geometry; energy relative to the lowest polymorph listed for this composition = 167 meV/atom; calculated total energy = -27.5 eV per cell; DOS at the Fermi energy = 4.80 states/eV/f.u.; mass density = 6.41 g/cm3
1.0
1.4523 0.8385 10.1738
-1.4523 0.8385 10.1738
0.0000 -1.6769 10.1738
K Fe Mo
1 1 2
Cartesian
0.0000 0.0000 0.0000
0.0000 0.0000 7.2571
0.0000 0.0000 15.5839
0.0000 0.0000 23.4722